Computed, not measured: an optimized crystal structure of ZrMn8 at the PBE level of DFT.

Computed properties:
- calculated density (g cm⁻³) = 8.04
- E (eV per atom) = -9.02
- space group = No. 139
- volume (Å³/f.u.) = 109.7

The structure in POSCAR format:
```
ZrMn8
1.0
-3.818 3.818 1.881
3.818 -3.818 1.881
3.818 3.818 -1.881
Mn Zr
8 1
Direct
0.307 0.307 0.615 Mn
0.693 0.307 0.000 Mn
0.000 0.645 0.645 Mn
0.307 0.693 0.000 Mn
0.000 0.355 0.355 Mn
0.693 0.693 0.385 Mn
0.355 0.000 0.355 Mn
0.645 0.000 0.645 Mn
0.000 0.000 0.000 Zr
```


Computed, not measured: an optimized crystal structure of Li2ErAl at the PBE level of DFT.

Computed properties:
- calculated density (g cm⁻³) = 4.66
- E (eV per atom) = -3.19
- space group = No. 225
- volume (Å³/f.u.) = 74.2

The structure in POSCAR format:
```
Li2ErAl
1.0
4.717 0.000 0.000
2.359 4.085 0.000
2.359 1.362 3.852
Li Er Al
2 1 1
Direct
0.750 0.750 0.750 Li
0.250 0.250 0.250 Li
0.000 0.000 0.000 Er
0.500 0.500 0.500 Al
```